A relaxed structure of CsRb5O. Source: the Alexandria database, functional PBE-GGA.

Summary:
ΔE_f (raw): -0.397 eV/atom
theoretical density: 1902 kg/m3
volume: 71.874 Å³/atom

Structure (CIF):
```
data_CsRb5O
_chemical_formula_sum 'Cs4 Rb20 O4'
_symmetry_space_group_name_H-M 'C 1 2/c 1'
_symmetry_Int_Tables_number 15
_cell_length_a 15.222
_cell_length_b 12.207
_cell_length_c 11.737
_cell_angle_alpha 90.00
_cell_angle_beta 112.66
_cell_angle_gamma 90.00
loop_
_symmetry_equiv_pos_as_xyz
'x,y,z'
'-x,-y,-z'
'-x,y,-z+1/2'
'x,-y,z+1/2'
'x+1/2,y+1/2,z'
'-x+1/2,-y+1/2,-z'
'-x+1/2,y+1/2,-z+1/2'
'x+1/2,-y+1/2,z+1/2'
loop_
_atom_site_label
_atom_site_fract_x
_atom_site_fract_y
_atom_site_fract_z
_atom_site_occupancy
Cs1 0.000 0.000 0.250 1
Rb1 0.000 0.497 0.250 1
Rb2 0.139 0.338 0.068 1
Rb3 0.140 0.340 0.572 1
O1 0.000 0.500 0.000 1
```